MnRuNO: relaxed, GGA+U.

```
4
Lattice="2.542 -1.462 0.000 2.542 1.462 0.000 -1.698 0.000 6.164" Properties=species:S:1:pos:R:3 pbc="T T T"
Mn 0.000 0.000 0.000
Ru 1.696 0.000 3.185
N 1.694 0.000 5.016
O 1.693 0.000 1.124
```

Output
electronic total energy: -31.03 eV for the cell shown
excess energy over the best structure of this formula in the dataset: 166 meV per atom
V: 11.453 Å³ per atom